Entry 1:
! HoNiB3, relaxed, DFT PBE; values from VASP
! Space group: Cmcm (63)
&SYSTEM
  ibrav = 0, nat = 10, ntyp = 3
/
ATOMIC_SPECIES
B 10.81 B.upf
Ho 164.93 Ho.upf
Ni 58.69 Ni.upf
CELL_PARAMETERS angstrom
3.5467 0.0000 -0.4883
0.0000 3.1732 0.0000
-0.5140 0.0000 9.3905
ATOMIC_POSITIONS crystal
B 0.3641 0.2500 0.7282
B 0.3203 0.7500 0.6406
B 0.6359 0.7500 0.2718
B 0.4767 0.2500 0.9533
B 0.6797 0.2500 0.3594
B 0.5233 0.7500 0.0467
Ho 0.9205 0.7500 0.8411
Ho 0.0795 0.2500 0.1589
Ni 0.2116 0.7500 0.4233
Ni 0.7884 0.2500 0.5767

=====

Entry 2:
! HoNiB4, relaxed, DFT PBE; values from VASP
! Relative energy among the computed polymorphs (meV/atom): 0
! Space group: I4/mmm (139)
&SYSTEM
  ibrav = 0, nat = 24, ntyp = 3
/
ATOMIC_SPECIES
Ni 58.69 Ni.upf
B 10.81 B.upf
Ho 164.93 Ho.upf
CELL_PARAMETERS angstrom
-1.2642 1.9486 -6.3991
3.8597 -5.5433 -0.8478
-5.6676 -1.2360 3.5630
ATOMIC_POSITIONS crystal
Ni 0.2708 0.5000 0.7708
Ni 0.5000 0.2708 0.7708
Ni 0.7292 0.5000 0.2292
Ni 0.5000 0.7292 0.2292
B 0.4193 0.8862 0.0000
B 0.5807 0.1138 0.0000
B 0.4193 0.4193 0.5330
B 0.1138 0.5807 0.0000
B 0.1138 0.1138 0.5330
B 0.8887 0.2754 0.1641
B 0.1113 0.2754 0.3866
B 0.2754 0.8887 0.1641
B 0.8862 0.8862 0.4670
B 0.8887 0.7246 0.6134
B 0.7246 0.8887 0.6134
B 0.8862 0.4193 0.0000
B 0.5807 0.5807 0.4670
B 0.7246 0.1113 0.8359
B 0.1113 0.7246 0.8359
B 0.2754 0.1113 0.3866
Ho 0.7967 0.7967 0.0000
Ho 0.2500 0.7500 0.5000
Ho 0.2033 0.2033 0.0000
Ho 0.7500 0.2500 0.5000

=====

Number 1: N(E_F) 2.596 states/eV per cell, M_tot 0.00 μB per formula unit, total energy -6.43 eV per atom. Number 2: N(E_F) 6.384 states/eV per cell, M_tot 0.00 μB per formula unit, total energy -6.76 eV per atom.